# 1
## Co3Te (GGA-PBE)

Data for a geometry-optimized Co3Te structure.

Cell: 3.7683 3.7683 7.3140 Å, 90.00 90.00 90.00°
With the nearest neighbours (Å) after each atom.
Space group I4/mmm (No. 139)
Symmetry-distinct sites (fractional):
Co  0.0000  0.0000  0.0000 x2  8 Co 2.63, 4 Te 2.66
Co  0.0000  0.5000  0.2500 x4  8 Co 2.63-2.66, 4 Te 2.63
Te  0.0000  0.0000  0.5000 x2  12 Co 2.63-2.66

=====

# 2
## K3Er2SnS6 (GGA-PBE)

Data for a geometry-optimized K3Er2SnS6 structure.

Cell: 6.9893 12.1058 7.7045 Å, 90.00 107.59 90.00°
With the nearest neighbours (Å) after each atom.
Space group C2/m (No. 12)
Symmetry-distinct sites (fractional):
K  0.0000  0.0000  0.0000 x2  6 S 3.19-3.21
K  0.0000  0.3349  0.0000 x4  6 S 3.20-3.21
Er  0.0000  0.1668  0.5000 x4  6 S 2.75
Sn  0.0000  0.5000  0.5000 x2  6 S 2.77
S  0.2304  0.0000  0.6999 x4  2 Er 2.75, 1 Sn 2.77
S  0.2349  0.3319  0.7003 x8  2 Er 2.75, 1 Sn 2.77

=====

# 3
## TaSi (GGA-PBE)

Data for a geometry-optimized TaSi structure.

Cell: 3.0429 3.0429 8.0025 Å, 90.00 90.00 120.00°
With the nearest neighbours (Å) after each atom.
Space group P6_3/mmc (No. 194)
Symmetry-distinct sites (fractional):
Ta  0.0000  0.0000  0.0000 x2  6 Si 2.66
Si  0.3333  0.6667  0.2500 x2  6 Ta 2.66

=====

# 4
## Sc2SbPt (GGA-PBE)

Data for a geometry-optimized Sc2SbPt structure.

Cell: 4.8521 4.9353 6.9110 Å, 90.00 90.00 90.00°
With the nearest neighbours (Å) after each atom.
Space group Cmmm (No. 65)
Symmetry-distinct sites (fractional):
Sc  0.0000  0.0000  0.2261 x4  4 Pt 2.89-2.92, 4 Sb 3.08-3.11, 1 Sc 3.12
Sb  0.0000  0.5000  0.5000 x2  8 Sc 3.08-3.11
Pt  0.0000  0.5000  0.0000 x2  8 Sc 2.89-2.92

=====

# 5
## Nd2Mg5Sc (GGA-PBE)

Data for a geometry-optimized Nd2Mg5Sc structure.

Properties
Formation energy = -56.5 meV per atom

Cell: 5.1325 5.1325 15.8674 Å, 90.00 90.00 90.00°
With the nearest neighbours (Å) after each atom.
Space group I4/mmm (No. 139)
Symmetry-distinct sites (fractional):
Nd  0.0000  0.0000  0.2428 x4  8 Mg 3.32-3.47, 4 Nd 3.64
Mg  0.0000  0.0000  0.0000 x2  8 Mg 3.10
Mg  0.0000  0.5000  0.1098 x8  2 Mg 3.10, 2 Sc 3.10, 4 Nd 3.32-3.47
Sc  0.0000  0.0000  0.5000 x2  8 Mg 3.10

=====

# 6
## PrNd6DyEr2 (GGA-PBE)

Data for a geometry-optimized PrNd6DyEr2 structure.

Properties
Formation energy = 113.4 meV per atom

Cell: 9.3646 15.2630 9.6838 Å, 90.00 96.92 90.00°
With the nearest neighbours (Å) after each atom.
Space group C2/c (No. 15)
Symmetry-distinct sites (fractional):
Pr  0.0000  0.0303  0.2500 x4  4 Er 3.44-3.51, 6 Nd 3.59-3.82
Nd  0.0638  0.1772  0.9444 x8  7 Nd 3.48-3.81, 1 Er 3.55, 2 Pr 3.70-3.82
Nd  0.0949  0.3899  0.1175 x8  4 Nd 3.29-3.65, 3 Er 3.33-3.50, 2 Dy 3.46-3.58
Nd  0.2162  0.2240  0.3153 x8  3 Nd 3.29-3.67, 1 Dy 3.48, 1 Er 3.50, 1 Pr 3.59
Dy  0.0000  0.4105  0.7500 x4  6 Nd 3.46-3.58, 2 Er 3.54
Er  0.2492  0.4516  0.4509 x8  6 Nd 3.33-3.71, 2 Pr 3.44-3.51, 1 Dy 3.54

=====

# 7
## AgRuSe (GGA-PBE)

Data for a geometry-optimized AgRuSe structure.

Properties
Offset from the most stable computed form = 366.9 meV per atom

Cell: 6.1063 6.1063 6.1063 Å, 90.00 90.00 90.00°
With the nearest neighbours (Å) after each atom.
Space group F-43m (No. 216)
Symmetry-distinct sites (fractional):
Ag  0.0000  0.0000  0.0000 x4  4 Ru 2.64
Ru  0.2500  0.2500  0.2500 x4  4 Se 2.64, 4 Ag 2.64
Se  0.0000  0.0000  0.5000 x4  4 Ru 2.64

=====

# 8
## Ca2Bi2Br (GGA-PBE)

Data for a geometry-optimized Ca2Bi2Br structure.

Cell: 8.0698 8.0698 4.9569 Å, 90.00 90.00 90.00°
With the nearest neighbours (Å) after each atom.
Space group P4/mbm (No. 127)
Symmetry-distinct sites (fractional):
Ca  0.1698  0.3302  0.0000 x4  2 Br 3.00
Bi  0.1315  0.6315  0.5000 x4  1 Bi 3.00, 2 Ca 3.36
Br  0.0000  0.0000  0.0000 x2  4 Ca 3.00

=====

# 9
## AlTeH6C2Cl3 (GGA-PBE)

Data for a geometry-optimized AlTeH6C2Cl3 structure.

Cell: 6.6588 13.7250 11.0605 Å, 90.00 90.00 90.00°
With the nearest neighbours (Å) after each atom.
Space group Pbcm (No. 57)
Symmetry-distinct sites (fractional):
Al  0.0493  0.0658  0.2500 x4  3 Cl 2.14-2.15
Te  0.1290  0.6299  0.7500 x4  2 C 2.15
H  0.2680  0.6243  0.5218 x8  1 C 1.09
H  0.4241  0.7032  0.6127 x8  1 C 1.10
H  0.4541  0.5723  0.6210 x8  1 C 1.09
C  0.3488  0.6324  0.6074 x8  3 H 1.09-1.10
Cl  0.1761  0.1235  0.0874 x8  1 Al 2.14
Cl  0.2727  0.5754  0.2500 x4  1 Al 2.15

=====

# 10
## PuGa2Os (GGA-PBE)

Data for a geometry-optimized PuGa2Os structure.

Properties
Offset from the most stable computed form = 115.8 meV per atom
Formation energy = -161.5 meV per atom

Cell: 3.1283 3.1283 7.2346 Å, 90.00 90.00 90.00°
With the nearest neighbours (Å) after each atom.
Space group P4/mmm (No. 123)
Symmetry-distinct sites (fractional):
Pu  0.0000  0.0000  0.0000 x1  8 Ga 3.12, 4 Pu 3.13
Ga  0.5000  0.5000  0.3036 x2  4 Os 2.63, 1 Ga 2.84
Os  0.0000  0.0000  0.5000 x1  8 Ga 2.63

=====

# 11
## Ca2NiPd2 (GGA-PBE)

Data for a geometry-optimized Ca2NiPd2 structure.

Properties
Formation energy = -147.0 meV per atom

Cell: 3.7096 3.7096 16.1924 Å, 90.00 90.00 90.00°
With the nearest neighbours (Å) after each atom.
Space group I4/mmm (No. 139)
Symmetry-distinct sites (fractional):
Ca  0.0000  0.0000  0.1044 x4  4 Pd 3.00, 4 Ni 3.12
Ni  0.0000  0.0000  0.5000 x2  8 Ca 3.12
Pd  0.0000  0.5000  0.2500 x4  4 Pd 2.62

=====

# 12
## Ta2CdRh (GGA-PBE)

Data for a geometry-optimized Ta2CdRh structure.

Properties
Formation energy = 22.0 meV per atom

Cell: 9.9212 2.9744 5.0255 Å, 90.00 106.88 90.00°
With the nearest neighbours (Å) after each atom.
Space group Cm (No. 8)
Symmetry-distinct sites (fractional):
Ta  0.0000  0.0000  0.0000 x2  5 Ta 2.83-3.02, 4 Rh 2.91-2.96, 3 Cd 3.02-3.07
Ta  0.2495  0.5000  0.2267 x2  2 Rh 2.66, 4 Ta 2.83-2.97, 4 Cd 2.91-2.95
Cd  0.2266  0.0000  0.7092 x2  3 Rh 2.87-2.94, 7 Ta 2.91-3.07, 2 Cd 2.97
Rh  0.4705  0.0000  0.4889 x2  6 Ta 2.66-2.96, 3 Cd 2.87-2.94, 2 Rh 2.97

=====

Summary of electronic total energy in eV/cell
-47.2, -118.1, -35.6, -52.7, -48.6, -183.9, -57.1, -35.9, -233.3, -32.3, -41.8, -63.8
(order as listed above)
Summary of V in Å³ per cell
103.86, 621.41, 64.17, 165.49, 417.99, 1374.05, 227.69, 322.80, 1010.84, 70.80, 222.83, 141.91
(order as listed above)